No. 1
This record from the Alexandria database describes crystalline Pr8TmIn6 at its relaxed geometry. The functional is GGA-PBE.

```
Pr8TmIn6
1.0
4.634 2.676 6.690
-4.634 2.676 6.690
0.000 -5.351 6.690
Pr Tm In
8 1 6
direct
0.049 0.384 0.719
0.165 0.165 0.165
0.281 0.951 0.616
0.384 0.719 0.049
0.616 0.281 0.951
0.719 0.049 0.384
0.835 0.835 0.835
0.951 0.616 0.281
0.500 0.500 0.500
0.122 0.771 0.448
0.229 0.552 0.878
0.448 0.122 0.771
0.552 0.878 0.229
0.771 0.448 0.122
0.878 0.229 0.552
```

Values from the calculation:
**ΔH_f (0 K)**: -0.25 eV per atom
**V**: 497.7 Å³ per cell
**Total moment**: 0.00 μB/f.u.

---

No. 2
This record from the Alexandria database describes crystalline Pr2TmIn9 at its relaxed geometry. The functional is GGA-PBE.

```
Pr2TmIn9
1.0
4.704 0.000 0.000
0.000 4.704 0.000
0.000 0.000 14.062
Pr Tm In
2 1 9
direct
0.000 0.000 0.169
0.000 0.000 0.831
0.000 0.000 0.500
0.000 0.500 0.000
0.000 0.500 0.339
0.000 0.500 0.661
0.500 0.000 0.000
0.500 0.000 0.339
0.500 0.000 0.661
0.500 0.500 0.168
0.500 0.500 0.500
0.500 0.500 0.832
```

Values from the calculation:
**ΔH_f (0 K)**: -0.44 eV per atom
**V**: 311.2 Å³ per cell
**Total moment**: 0.00 μB/f.u.

---

No. 3
This record from the Alexandria database describes crystalline Pr12Tm6In at its relaxed geometry. The functional is GGA-PBE.

```
Pr12Tm6In
1.0
6.051 3.494 5.125
-6.051 3.494 5.125
0.000 -6.987 5.125
Pr Tm In
12 6 1
direct
0.037 0.288 0.931
0.069 0.963 0.712
0.134 0.324 0.482
0.288 0.931 0.037
0.324 0.482 0.134
0.482 0.134 0.324
0.518 0.866 0.676
0.676 0.518 0.866
0.712 0.069 0.963
0.866 0.676 0.518
0.931 0.037 0.288
0.963 0.712 0.069
0.222 0.602 0.755
0.245 0.778 0.398
0.398 0.245 0.778
0.602 0.755 0.222
0.755 0.222 0.602
0.778 0.398 0.245
0.500 0.500 0.500
```

Values from the calculation:
**ΔH_f (0 K)**: 0.06 eV per atom
**V**: 650.0 Å³ per cell
**Total moment**: 0.00 μB/f.u.

---

No. 4
This record from the Alexandria database describes crystalline Pr5TmIn4 at its relaxed geometry. The functional is GGA-PBE.

```
Pr5TmIn4
1.0
3.678 0.000 0.000
0.000 3.678 0.000
0.000 0.000 22.567
Pr Tm In
5 1 4
direct
0.000 0.000 0.000
0.000 0.000 0.194
0.000 0.000 0.387
0.000 0.000 0.613
0.000 0.000 0.806
0.500 0.500 0.500
0.500 0.500 0.097
0.500 0.500 0.292
0.500 0.500 0.708
0.500 0.500 0.903
```

Values from the calculation:
**ΔH_f (0 K)**: -0.37 eV per atom
**V**: 305.3 Å³ per cell
**Total moment**: 0.00 μB/f.u.

---

No. 5
This record from the Alexandria database describes crystalline Pr7TmIn4 at its relaxed geometry. The functional is GGA-PBE.

```
Pr7TmIn4
1.0
7.404 -2.945 0.000
7.404 2.945 0.000
-5.937 0.000 8.992
Pr Tm In
7 1 4
direct
0.000 0.000 0.000
0.223 0.223 0.663
0.296 0.296 0.117
0.437 0.437 0.609
0.563 0.563 0.391
0.704 0.704 0.883
0.777 0.777 0.337
0.500 0.500 0.000
0.056 0.056 0.751
0.181 0.181 0.334
0.819 0.819 0.666
0.944 0.944 0.249
```

Values from the calculation:
**ΔH_f (0 K)**: -0.14 eV per atom
**V**: 392.2 Å³ per cell
**Total moment**: 0.00 μB/f.u.

---

No. 6
This record from the Alexandria database describes crystalline Pr2TmIn3 at its relaxed geometry. The functional is GGA-PBE.

```
Pr2TmIn3
1.0
6.209 -5.105 0.000
6.209 5.105 0.000
0.000 0.000 5.834
Pr Tm In
4 2 6
direct
0.078 0.647 0.750
0.353 0.922 0.750
0.647 0.078 0.250
0.922 0.353 0.250
0.398 0.602 0.250
0.602 0.398 0.750
0.085 0.915 0.250
0.293 0.293 0.000
0.293 0.293 0.500
0.707 0.707 0.000
0.707 0.707 0.500
0.915 0.085 0.750
```

Values from the calculation:
**ΔH_f (0 K)**: -0.23 eV per atom
**V**: 369.8 Å³ per cell
**Total moment**: 0.00 μB/f.u.